No. 1
Density functional theory data (GGA-PBE) for a geometry-optimized V5Ga2Rh structure.

## Properties
total moment	0.00	μB/atom
N(E_F)	5.15	states/eV/f.u.
E_form	-0.27	eV per atom

a b c (Å): 5.234 10.286 4.077
angles (deg): 90.00 90.00 90.00
Space group Pbam (No. 55)
Unique sites:
V 0.000 0.000 0.000 [2 per cell]
V 0.101 0.251 0.000 [4 per cell]
V 0.173 0.863 0.500 [4 per cell]
Ga 0.188 0.615 0.500 [4 per cell]
Rh 0.000 0.500 0.000 [2 per cell]


No. 2
Density functional theory data (GGA-PBE) for a geometry-optimized V2GaRh3 structure.

## Properties
total moment	0.39	μB/atom
N(E_F)	6.13	states/eV/f.u.
E_form	-0.39	eV per atom

a b c (Å): 3.133 3.133 8.583
angles (deg): 90.00 90.00 90.00
Space group P4/mmm (No. 123)
Unique sites:
V 0.000 0.000 0.160 [2 per cell]
Ga 0.000 0.000 0.500 [1 per cell]
Rh 0.500 0.500 0.000 [1 per cell]
Rh 0.500 0.500 0.330 [2 per cell]


No. 3
Density functional theory data (GGA-PBE) for a geometry-optimized V2GaRh2 structure.

## Properties
total moment	0.00	μB/atom
N(E_F)	3.88	states/eV/f.u.
E_form	-0.28	eV per atom

a b c (Å): 7.263 7.263 2.790
angles (deg): 90.00 90.00 90.00
Space group P4/mbm (No. 127)
Unique sites:
V 0.164 0.336 0.000 [4 per cell]
Ga 0.000 0.000 0.500 [2 per cell]
Rh 0.132 0.632 0.500 [4 per cell]


No. 4
Density functional theory data (GGA-PBE) for a geometry-optimized V2GaRh8 structure.

## Properties
polymorph energy (0 for the lowest one)	0.079	eV/atom
total moment	0.00	μB/atom
N(E_F)	11.17	states/eV/f.u.
E_form	-0.25	eV per atom

a b c (Å): 4.058 6.973 11.188
angles (deg): 90.00 90.00 90.00
Space group Immm (No. 71)
Unique sites:
V 0.000 0.000 0.203 [4 per cell]
Ga 0.000 0.000 0.500 [2 per cell]
Rh 0.000 0.182 0.000 [4 per cell]
Rh 0.000 0.288 0.342 [8 per cell]
Rh 0.000 0.500 0.141 [4 per cell]


No. 5
Density functional theory data (GGA-PBE) for a geometry-optimized V2GaRh structure.

## Properties
total moment	0.00	μB/atom
N(E_F)	4.66	states/eV/f.u.
E_form	-0.33	eV per atom

a b c (Å): 3.653 3.653 4.124
angles (deg): 90.00 90.00 90.00
Space group P4/mmm (No. 123)
Unique sites:
V 0.000 0.500 0.000 [2 per cell]
Ga 0.000 0.000 0.500 [1 per cell]
Rh 0.500 0.500 0.500 [1 per cell]


No. 6
Density functional theory data (GGA-PBE) for a geometry-optimized VGaRh structure.

## Properties
total moment	0.28	μB/atom
N(E_F)	4.39	states/eV/f.u.
E_form	-0.21	eV per atom

a b c (Å): 5.837 5.837 5.837
angles (deg): 90.00 90.00 90.00
Space group F-43m (No. 216)
Unique sites:
V 0.000 0.000 0.000 [4 per cell]
Ga 0.000 0.000 0.500 [4 per cell]
Rh 0.250 0.250 0.250 [4 per cell]


No. 7
Density functional theory data (GGA-PBE) for a geometry-optimized VGa5Rh6 structure.

## Properties
total moment	0.13	μB/atom
N(E_F)	9.43	states/eV/f.u.
E_form	-0.62	eV per atom

a b c (Å): 4.188 12.611 6.368
angles (deg): 90.00 90.00 90.00
Space group Cmmm (No. 65)
Unique sites:
V 0.000 0.000 0.000 [2 per cell]
Ga 0.000 0.000 0.500 [2 per cell]
Ga 0.000 0.334 0.500 [4 per cell]
Ga 0.000 0.338 0.000 [4 per cell]
Rh 0.000 0.168 0.250 [8 per cell]
Rh 0.000 0.500 0.256 [4 per cell]


No. 8
Density functional theory data (GGA-PBE) for a geometry-optimized VGa2Rh4 structure.

## Properties
polymorph energy (0 for the lowest one)	0.000	eV/atom
total moment	0.00	μB/atom
N(E_F)	3.83	states/eV/f.u.
E_form	-0.46	eV per atom

a b c (Å): 4.2212 4.2212 20.4513
angles (deg): 90.00 90.00 120.00
Space group R-3m (No. 166, hexagonal axes)
Unique sites:
V 0.0000 0.0000 0.0000 [3 per cell]
Ga 0.0000 0.0000 0.2459 [6 per cell]
Rh 0.0000 0.0000 0.1228 [6 per cell]
Rh 0.0000 0.0000 0.3734 [6 per cell]


No. 9
Density functional theory data (GGA-PBE) for a geometry-optimized V4GaRh7 structure.

## Properties
total moment	0.00	μB/atom
N(E_F)	11.49	states/eV/f.u.
E_form	-0.09	eV per atom

a b c (Å): 11.665 4.481 8.852
angles (deg): 90.00 127.20 90.00
Space group C2/m (No. 12)
Unique sites:
V 0.083 0.000 0.290 [4 per cell]
V 0.216 0.000 0.844 [4 per cell]
Ga 0.000 0.500 0.500 [2 per cell]
Rh 0.000 0.000 0.500 [2 per cell]
Rh 0.078 0.500 0.831 [4 per cell]
Rh 0.144 0.000 0.078 [4 per cell]
Rh 0.214 0.500 0.362 [4 per cell]


No. 10
Density functional theory data (GGA-PBE) for a geometry-optimized V3GaRh4 structure.

## Properties
total moment	0.00	μB/atom
N(E_F)	7.18	states/eV/f.u.
E_form	-0.42	eV per atom

a b c (Å): 8.757 5.519 4.575
angles (deg): 90.00 90.00 90.00
Space group Pmma (No. 51)
Unique sites:
V 0.000 0.000 0.000 [2 per cell]
V 0.250 0.000 0.373 [2 per cell]
V 0.250 0.500 0.375 [2 per cell]
Ga 0.000 0.500 0.000 [2 per cell]
Rh 0.000 0.247 0.500 [4 per cell]
Rh 0.250 0.251 0.878 [4 per cell]


No. 11
Density functional theory data (GGA-PBE) for a geometry-optimized VGaRh structure.

## Properties
total moment	0.51	μB/atom
N(E_F)	1.96	states/eV/f.u.
E_form	0.08	eV per atom

a b c (Å): 2.833 2.833 13.047
angles (deg): 90.00 90.00 90.00
Space group I4mm (No. 107)
Unique sites:
V 0.000 0.000 0.000 [2 per cell]
Ga 0.000 0.000 0.196 [2 per cell]
Rh 0.000 0.000 0.385 [2 per cell]


No. 12
Density functional theory data (GGA-PBE) for a geometry-optimized VGaRh3 structure.

## Properties
polymorph energy (0 for the lowest one)	0.000	eV/atom
total moment	0.00	μB/atom
N(E_F)	3.50	states/eV/f.u.
E_form	-0.31	eV per atom

a b c (Å): 9.734 8.896 6.872
angles (deg): 90.00 90.94 90.00
Space group C2/c (No. 15)
Unique sites:
V 0.208 0.106 0.082 [8 per cell]
Ga 0.000 0.179 0.750 [4 per cell]
Ga 0.000 0.361 0.250 [4 per cell]
Rh 0.089 0.104 0.408 [8 per cell]
Rh 0.122 0.415 0.602 [8 per cell]
Rh 0.249 0.158 0.737 [8 per cell]